{
  "formula": "Pr3Tm6Sc",
  "functional": "PBE",
  "state": "optimized geometry",
  "energy_ev_per_atom": -4.707,
  "formation_energy_ev_per_fu": 0.4,
  "spacegroup": "P2_1/m, No. 11",
  "e_above_lowest_polymorph_ev_per_atom": 0.000,
  "volume_a3_per_cell": 625,
  "lattice": [[11.1476, 0.0000, 0.0000], [0.0000, 5.0114, 0.0000], [-0.0731, 0.0000, 11.1929]],
  "species": ["Pr", "Pr", "Pr", "Pr", "Pr", "Pr", "Tm", "Tm", "Tm", "Tm", "Tm", "Tm", "Tm", "Tm", "Tm", "Tm", "Tm", "Tm", "Sc", "Sc"],
  "fractional_positions": [[0.0505, 0.2500, 0.4014], [0.1512, 0.7500, 0.2028], [0.2527, 0.2500, 0.0002], [0.7473, 0.7500, 0.9998], [0.8488, 0.2500, 0.7972], [0.9495, 0.7500, 0.5986], [0.0540, 0.7500, 0.8987], [0.1604, 0.2500, 0.6980], [0.2632, 0.7500, 0.5026], [0.3535, 0.7500, 0.7983], [0.3592, 0.2500, 0.3083], [0.4526, 0.7500, 0.1046], [0.5474, 0.2500, 0.8954], [0.6408, 0.7500, 0.6917], [0.6465, 0.2500, 0.2017], [0.7368, 0.2500, 0.4974], [0.8396, 0.7500, 0.3020], [0.9460, 0.2500, 0.1013], [0.4511, 0.2500, 0.5997], [0.5489, 0.7500, 0.4003]]
}